Entry 1:
# CdSiTc

A geometry-optimized CdSiTc structure (GGA-PBEsol, the Alexandria database).

The space group is F-43m (No. 216) and the conventional cell measures 5.9767, 5.9767 and 5.9767 Å, with angles of 90.00, 90.00 and 90.00 degrees. The distinct sites, in fractional coordinates, are Cd at (0.0000, 0.0000, 0.0000), Si at (0.0000, 0.0000, 0.5000) and Tc at (0.2500, 0.2500, 0.7500).

For the energy relative to the elements, uncorrected, the calculation gives 492 meV/atom. As for the spin magnetization: 0.001 μB/f.u.

---

Entry 2:
# CdSiTc2

A geometry-optimized CdSiTc2 structure (GGA-PBEsol, the Alexandria database).

The space group is F-43m (No. 216) and the conventional cell measures 6.1783, 6.1783 and 6.1783 Å, with angles of 90.00, 90.00 and 90.00 degrees. The distinct sites, in fractional coordinates, are Cd at (0.0000, 0.0000, 0.0000), Si at (0.2500, 0.2500, 0.7500), Tc at (0.0000, 0.0000, 0.5000) and Tc at (0.2500, 0.2500, 0.2500).

The excess energy over the best structure of this formula in the dataset comes out at 12.0 kJ/mol of atoms. For the energy relative to the elements, uncorrected, the calculation gives 374 meV/atom. As for the spin magnetization: 0.003 μB/f.u.

---

Entry 3:
# CdSiTc2

A geometry-optimized CdSiTc2 structure (GGA-PBEsol, the Alexandria database).

The space group is Fm-3m (No. 225) and the conventional cell measures 6.1338, 6.1338 and 6.1338 Å, with angles of 90.00, 90.00 and 90.00 degrees. The distinct sites, in fractional coordinates, are Cd at (0.0000, 0.0000, 0.0000), Si at (0.0000, 0.0000, 0.5000) and Tc at (0.2500, 0.2500, 0.2500).

The excess energy over the best structure of this formula in the dataset comes out at 0.0 kJ/mol of atoms. For the energy relative to the elements, uncorrected, the calculation gives 250 meV/atom. As for the spin magnetization: 0.001 μB/f.u.

---

Entry 4:
# CdSiTc2

A geometry-optimized CdSiTc2 structure (GGA-PBEsol, the Alexandria database).

The space group is P2/m (No. 10) and the conventional cell measures 4.5822, 2.8079 and 4.9553 Å, with angles of 90.00, 111.42 and 90.00 degrees. The distinct sites, in fractional coordinates, are Cd at (0.0000, 0.0000, 0.0000), Si at (0.0000, 0.5000, 0.5000), Tc at (0.5000, 0.0000, 0.5000) and Tc at (0.5000, 0.5000, 0.0000).

The excess energy over the best structure of this formula in the dataset comes out at 7.1 kJ/mol of atoms. For the energy relative to the elements, uncorrected, the calculation gives 324 meV/atom. As for the spin magnetization: 0.000 μB/f.u.

---

Entry 5:
# CdSi2Tc2

A geometry-optimized CdSi2Tc2 structure (GGA-PBEsol, the Alexandria database).

The space group is I4/mmm (No. 139) and the conventional cell measures 3.4437, 3.4437 and 12.7595 Å, with angles of 90.00, 90.00 and 90.00 degrees. The distinct sites, in fractional coordinates, are Cd at (0.0000, 0.0000, 0.0000), Si at (0.0000, 0.5000, 0.2500) and Tc at (0.0000, 0.0000, 0.3864).

For the energy relative to the elements, uncorrected, the calculation gives -103 meV/atom. As for the spin magnetization: 0.005 μB/f.u.

---

Entry 6:
# Cd2SiTe

A geometry-optimized Cd2SiTe structure (GGA-PBEsol, the Alexandria database).

The space group is Pmmm (No. 47) and the conventional cell measures 3.8013, 4.5316 and 5.2053 Å, with angles of 90.00, 90.00 and 90.00 degrees. The distinct sites, in fractional coordinates, are Cd at (0.0000, 0.0000, 0.0000), Cd at (0.5000, 0.5000, 0.0000), Si at (0.0000, 0.5000, 0.5000) and Te at (0.5000, 0.0000, 0.5000).

The excess energy over the best structure of this formula in the dataset comes out at 14.4 kJ/mol of atoms. For the energy relative to the elements, uncorrected, the calculation gives 314 meV/atom. As for the spin magnetization: 0.000 μB/f.u.

---

Entry 7:
# CdSi2Te

A geometry-optimized CdSi2Te structure (GGA-PBEsol, the Alexandria database).

The space group is P4mm (No. 99) and the conventional cell measures 3.5959, 3.5959 and 7.0378 Å, with angles of 90.00, 90.00 and 90.00 degrees. The distinct sites, in fractional coordinates, are Cd at (0.0000, 0.0000, 0.0000), Si at (0.0000, 0.0000, 0.3608), Si at (0.5000, 0.5000, 0.4127) and Te at (0.5000, 0.5000, 0.7797).

The excess energy over the best structure of this formula in the dataset comes out at 0.0 kJ/mol of atoms. For the energy relative to the elements, uncorrected, the calculation gives 209 meV/atom. As for the spin magnetization: 0.000 μB/f.u.

---

Entry 8:
# CdSi2Te

A geometry-optimized CdSi2Te structure (GGA-PBEsol, the Alexandria database).

The space group is P4/mmm (No. 123) and the conventional cell measures 2.9774, 2.9774 and 9.2667 Å, with angles of 90.00, 90.00 and 90.00 degrees. The distinct sites, in fractional coordinates, are Cd at (0.0000, 0.0000, 0.0000), Si at (0.5000, 0.5000, 0.2227) and Te at (0.0000, 0.0000, 0.5000).

The excess energy over the best structure of this formula in the dataset comes out at 29.9 kJ/mol of atoms. For the energy relative to the elements, uncorrected, the calculation gives 519 meV/atom. As for the spin magnetization: 0.000 μB/f.u.

---

Entry 9:
# CdSi2Te

A geometry-optimized CdSi2Te structure (GGA-PBEsol, the Alexandria database).

The space group is C2/m (No. 12) and the conventional cell measures 9.9038, 3.5672 and 6.7601 Å, with angles of 90.00, 127.75 and 90.00 degrees. The distinct sites, in fractional coordinates, are Cd at (0.0000, 0.0000, 0.0000), Si at (0.2405, 0.0000, 0.8634) and Te at (0.0000, 0.5000, 0.5000).

The excess energy over the best structure of this formula in the dataset comes out at 12.4 kJ/mol of atoms. For the energy relative to the elements, uncorrected, the calculation gives 337 meV/atom. As for the spin magnetization: 0.000 μB/f.u.

---

Entry 10:
# CdSiTe2

A geometry-optimized CdSiTe2 structure (GGA-PBEsol, the Alexandria database).

The space group is Imm2 (No. 44) and the conventional cell measures 3.8072, 3.8973 and 13.8200 Å, with angles of 90.00, 90.00 and 90.00 degrees. The distinct sites, in fractional coordinates, are Cd at (0.0000, 0.0000, 0.0000), Si at (0.0000, 0.5000, 0.7512), Te at (0.0000, 0.0000, 0.4035) and Te at (0.0000, 0.5000, 0.1694).

For the energy relative to the elements, uncorrected, the calculation gives 131 meV/atom. As for the spin magnetization: 0.000 μB/f.u.

---

Entry 11:
# Cd2SiTe

A geometry-optimized Cd2SiTe structure (GGA-PBEsol, the Alexandria database).

The space group is Pmmm (No. 47) and the conventional cell measures 2.9442, 3.8411 and 8.0073 Å, with angles of 90.00, 90.00 and 90.00 degrees. The distinct sites, in fractional coordinates, are Cd at (0.0000, 0.0000, 0.2073), Si at (0.5000, 0.5000, 0.0000) and Te at (0.0000, 0.5000, 0.5000).

The excess energy over the best structure of this formula in the dataset comes out at 0.0 kJ/mol of atoms. For the energy relative to the elements, uncorrected, the calculation gives 165 meV/atom. As for the spin magnetization: 0.000 μB/f.u.

---

Entry 12:
# Cd2SiTe

A geometry-optimized Cd2SiTe structure (GGA-PBEsol, the Alexandria database).

The space group is P4/mmm (No. 123) and the conventional cell measures 4.7737, 4.7737 and 3.9398 Å, with angles of 90.00, 90.00 and 90.00 degrees. The distinct sites, in fractional coordinates, are Cd at (0.0000, 0.5000, 0.0000), Si at (0.0000, 0.0000, 0.5000) and Te at (0.5000, 0.5000, 0.5000).

The excess energy over the best structure of this formula in the dataset comes out at 18.7 kJ/mol of atoms. For the energy relative to the elements, uncorrected, the calculation gives 359 meV/atom. As for the spin magnetization: 0.000 μB/f.u.

---

Entry 13:
# CdSi2Te

A geometry-optimized CdSi2Te structure (GGA-PBEsol, the Alexandria database).

The space group is Cmmm (No. 65) and the conventional cell measures 6.2586, 7.4314 and 3.5127 Å, with angles of 90.00, 90.00 and 90.00 degrees. The distinct sites, in fractional coordinates, are Cd at (0.0000, 0.0000, 0.0000), Si at (0.2500, 0.2500, 0.5000) and Te at (0.0000, 0.5000, 0.0000).

The excess energy over the best structure of this formula in the dataset comes out at 27.5 kJ/mol of atoms. For the energy relative to the elements, uncorrected, the calculation gives 494 meV/atom. As for the spin magnetization: 0.000 μB/f.u.

---

Entry 14:
# Tl2CdSi

A geometry-optimized Tl2CdSi structure (GGA-PBEsol, the Alexandria database).

The space group is P4mm (No. 99) and the conventional cell measures 3.3731, 3.3731 and 8.2825 Å, with angles of 90.00, 90.00 and 90.00 degrees. The distinct sites, in fractional coordinates, are Tl at (0.0000, 0.0000, 0.0000), Tl at (0.5000, 0.5000, 0.3066), Cd at (0.0000, 0.0000, 0.5720) and Si at (0.5000, 0.5000, 0.7599).

For the energy relative to the elements, uncorrected, the calculation gives 254 meV/atom. As for the spin magnetization: 0.000 μB/f.u.

---

Entry 15:
# TlCd2Si

A geometry-optimized TlCd2Si structure (GGA-PBEsol, the Alexandria database).

The space group is Pmm2 (No. 25) and the conventional cell measures 2.9851, 3.9683 and 7.4352 Å, with angles of 90.00, 90.00 and 90.00 degrees. The distinct sites, in fractional coordinates, are Tl at (0.0000, 0.0000, 0.0000), Cd at (0.0000, 0.0000, 0.5393), Cd at (0.5000, 0.5000, 0.2967) and Si at (0.5000, 0.5000, 0.7323).

The excess energy over the best structure of this formula in the dataset comes out at 0.5 kJ/mol of atoms. For the energy relative to the elements, uncorrected, the calculation gives 275 meV/atom. As for the spin magnetization: 0.000 μB/f.u.